A plane-wave DFT calculation with PBE-GGA was carried out for a relaxed AlCuAg crystal.

Properties
**Excess energy over the best structure of this formula in the dataset**: 5.5 meV per atom
**Final energy**: -0.26851 Ry per atom
**Calculated formation energy**: -0.0900 eV per atom
**Total moment**: 0.00 μB/cell

a = 5.8591 Å, b = 5.8591 Å, c = 5.8591 Å
α = 151.72°, β = 151.72°, γ = 40.42°
With the nearest neighbours (Å) after each atom.
Element x y z (fractional)
Al1 0.0000 0.0000 0.0000  4 Cu 2.55, 4 Ag 2.83
Cu1 0.6418 0.6418 0.0000  4 Al 2.55, 4 Ag 2.81
Ag1 0.3196 0.3196 0.0000  4 Cu 2.81, 4 Al 2.83, 4 Ag 2.86